A relaxed structure of Ti2Mn2Be. Source: the Alexandria database, functional GGA-PBE.

Properties
The density of states at the Fermi level comes out at 0.950 states/eV/atom. Its formation energy is -0.014 eV/atom.

Lattice parameters (Å, degrees): 5.8476 5.8476 3.8133 90.00 90.00 90.00
Space group P4/mbm (No. 127)
Unique sites:
Ti (0.1823, 0.3177, 0.0000)
Mn (0.1278, 0.6278, 0.5000)
Be (0.0000, 0.0000, 0.5000)